Entry 1:
YTl2F8 (PBE-GGA, optimized geometry); magnetic moment = 0.00 μB per cell; raw formation energy = -2514 meV per atom; energy relative to the lowest polymorph listed for this composition = 0.049 eV per atom
1.0
4.509 0.000 0.000
-0.001 6.159 -3.555
0.000 -0.002 7.111
Y Tl F
1 2 8
direct
0.000 0.000 0.000
0.266 0.333 0.667
0.734 0.667 0.333
0.237 0.667 0.333
0.763 0.333 0.667
0.746 0.847 0.151
0.254 0.152 0.305
0.254 0.695 0.847
0.254 0.153 0.849
0.746 0.848 0.695
0.746 0.305 0.153

---

Entry 2:
Tb6Dy2Cd (PBE-GGA, optimized geometry); magnetic moment = 0.00 μB per cell; energy relative to the lowest polymorph listed for this composition = 0.021 eV per atom; formation enthalpy at 0 K = -0.02 eV/atom
1.0
4.974 0.000 0.241
0.000 10.508 0.000
-0.508 0.000 10.496
Tb Dy Cd
12 4 2
direct
0.000 0.000 0.167
0.000 0.667 0.500
0.000 0.664 0.836
0.500 0.164 0.664
0.500 0.167 0.000
0.500 0.500 0.333
0.000 0.000 0.833
0.000 0.333 0.500
0.000 0.336 0.164
0.500 0.836 0.336
0.500 0.833 0.000
0.500 0.500 0.667
0.000 0.335 0.835
0.500 0.835 0.665
0.500 0.165 0.335
0.000 0.665 0.165
0.500 0.500 0.000
0.000 0.000 0.500

---

Entry 3:
Zn2RuSe (PBE-GGA, optimized geometry); magnetic moment = 0.00 μB per cell; raw formation energy = -68 meV per atom
1.0
4.636 0.003 -0.029
3.623 2.892 -0.029
1.000 0.351 5.701
Ru Se Zn
1 1 2
direct
0.528 0.528 0.576
0.159 0.159 0.280
0.025 0.025 0.938
0.788 0.788 0.707

---

Entry 4:
LaAlRu2 (PBE-GGA, optimized geometry); magnetic moment = 0.00 μB per cell; formation enthalpy at 0 K = 0.01 eV/atom
1.0
-5.100 0.522 2.262
-4.675 -0.740 -2.999
4.899 -2.529 1.002
Ru Al La
2 1 1
direct
0.000 0.000 0.000
0.250 0.750 0.500
0.500 0.500 0.000
0.750 0.250 0.500

---

Entry 5:
BeCuRu3 (PBE-GGA, optimized geometry); magnetic moment = 1.56 μB per cell; energy relative to the lowest polymorph listed for this composition = 0.000 eV per atom; formation enthalpy at 0 K = 0.72 eV/atom
1.0
4.080 0.000 0.000
0.000 4.080 0.000
0.000 0.000 4.080
Ru Cu Be
3 1 1
direct
0.000 0.500 0.000
0.000 0.000 0.500
0.500 0.000 0.000
0.500 0.500 0.500
0.000 0.000 0.000

---

Entry 6:
Hf2IF (PBE-GGA, optimized geometry); magnetic moment = 0.00 μB per cell; raw formation energy = -349 meV per atom; energy relative to the lowest polymorph listed for this composition = 0.000 eV per atom
1.0
-0.219 3.622 -2.444
-2.344 -2.162 -2.995
-9.111 3.192 1.630
I Hf F
2 4 2
direct
0.000 0.000 0.000
0.750 0.250 0.500
0.609 0.125 0.250
0.141 0.625 0.250
0.375 0.391 0.750
0.875 0.859 0.750
0.500 0.500 0.000
0.250 0.750 0.500

---

Number 1: uncorrected energy -4.893 eV/atom. Number 2: uncorrected energy -4.227 eV/atom. Number 3: uncorrected energy -3.895 eV/atom. Number 4: uncorrected energy -6.800 eV/atom. Number 5: uncorrected energy -6.406 eV/atom. Number 6: uncorrected energy -6.181 eV/atom.